(w)
Entry from the Alexandria database: a relaxed structure of Cs4KCd (GGA-PBE).

The structure in POSCAR format:
```
Cs4KCd
1.0
-7.153 3.684 -3.032
-5.030 -9.293 0.575
2.762 5.259 11.777
Cs Cd K
8 2 2
Cartesian
-1.253 4.227 7.890 Cs
-5.612 0.144 1.138 Cs
-3.693 -3.781 3.974 Cs
-3.864 -7.139 0.442 Cs
-8.168 -4.578 1.430 Cs
-1.166 -2.154 0.133 Cs
-3.808 -0.494 8.182 Cs
-5.727 3.430 5.346 Cs
-4.551 3.082 9.999 Cd
-4.869 -3.432 -0.679 Cd
-1.277 0.945 4.106 K
-8.143 -1.296 5.214 K
```

space-group type: No. 12
M_tot: 0.00 Bohr magnetons per cell

(x)
Entry from the Alexandria database: a relaxed structure of Cs4KCd (GGA-PBE).

The structure in POSCAR format:
```
Cs4KCd
1.0
0.059 5.087 7.001
-11.747 -5.556 -1.200
8.774 -7.104 2.408
K Cs Cd
2 8 2
Cartesian
-5.163 -3.251 2.412 K
2.248 -4.323 5.797 K
-0.249 -8.102 3.198 Cs
-2.653 -4.742 6.229 Cs
-8.029 -0.869 6.038 Cs
-0.262 -2.832 1.979 Cs
5.114 -6.705 2.171 Cs
-2.666 0.528 5.010 Cs
-5.179 -8.005 3.112 Cs
2.264 0.431 5.097 Cs
-2.940 -8.820 6.440 Cd
0.025 1.246 1.769 Cd
```

space-group type: No. 15
M_tot: 0.00 Bohr magnetons per cell

Among the structures shown above, (w) is the most stable, with the second-best lying 0.017 eV/atom higher.